Entry from the Alexandria database: a geometry-optimized Ac2ScTl6 structure (PBE-GGA).

Calculated values
**DFT total energy**: -126.1 eV for the cell shown
**Energy relative to the elements**: -308 meV per atom
**Crystal system**: cubic

Cell: 10.296 10.296 10.296 Å, 90.00 90.00 90.00°
Space group Fm-3m (No. 225)
One atom of each set of equivalent atoms:
Ac1 0.250 0.250 0.250 [8 per cell]
Sc1 0.000 0.000 0.000 [4 per cell]
Tl1 0.000 0.000 0.279 [24 per cell]